First-principles (PBE+U) data for a geometry-optimized Rb2FeTeF6 structure, as listed in the Alexandria database.

Results
total moment = 0.00 Bohr magnetons per cell
D(E_F) = 0.000 states/eV/f.u.
total DFT energy (no corrections) = -4.182 eV/atom
mass density = 4.0 g cm⁻³

abc: 6.7278 6.7278 6.3759
angles: 58.16 58.16 90.00
Closest atoms and distances in Å follow each position.
Positions (direct):
1 Te 0.0000 0.0000 0.0000  2 F 2.13
2 Fe 0.5000 0.5000 0.0000  6 F 2.05-2.12
3 Rb 0.7500 0.2500 0.5000  12 F 3.21-3.36
4 Rb 0.2500 0.7500 0.5000  12 F 3.21-3.36
5 F 0.2509 0.2509 0.4983  1 Fe 2.12, 1 Te 2.13
6 F 0.7491 0.7491 0.5017  1 Fe 2.12, 1 Te 2.13
7 F 0.2848 0.2848 0.0000  1 Fe 2.05
8 F 0.7152 0.7152 0.0000  1 Fe 2.05
9 F 0.7152 0.2848 0.0000  1 Fe 2.05
10 F 0.2848 0.7152 0.0000  1 Fe 2.05